No. 1
! InAsP2Cl | Alexandria via LeMat-Bulk | PBE-GGA | relaxed; values from VASP
! - Calculated volume: 27.73 Å³ per atom
! - Symmetry: No. 123
! - Energy above the most stable polymorph in this dataset: 201 kJ/mol of formula units
! - ΔE_f (raw): 0.897 eV/atom
&SYSTEM
  ibrav = 0, nat = 5, ntyp = 4
/
ATOMIC_SPECIES
P 30.97 P.upf
As 74.92 As.upf
Cl 35.45 Cl.upf
In 114.82 In.upf
ATOMIC_POSITIONS crystal
P 0.0000 0.5000 0.0000
P 0.5000 0.0000 0.0000
As 0.5000 0.5000 0.5000
Cl 0.0000 0.0000 0.5000
In 0.0000 0.0000 0.0000
CELL_PARAMETERS angstrom
5.3082 0.0000 0.0000
0.0000 5.3082 0.0000
0.0000 0.0000 4.9200



No. 2
! InAsP2Cl | Alexandria via LeMat-Bulk | PBE-GGA | relaxed; values from VASP
! - Calculated volume: 27.85 Å³ per atom
! - Symmetry: No. 123
! - Energy above the most stable polymorph in this dataset: 0 kJ/mol of formula units
! - ΔE_f (raw): 0.481 eV/atom
&SYSTEM
  ibrav = 0, nat = 5, ntyp = 4
/
ATOMIC_SPECIES
P 30.97 P.upf
As 74.92 As.upf
Cl 35.45 Cl.upf
In 114.82 In.upf
ATOMIC_POSITIONS crystal
P 0.0000 0.5000 0.0000
P 0.5000 0.0000 0.0000
As 0.0000 0.0000 0.0000
Cl 0.0000 0.0000 0.5000
In 0.5000 0.5000 0.5000
CELL_PARAMETERS angstrom
4.8287 0.0000 0.0000
0.0000 4.8287 0.0000
0.0000 0.0000 5.9711



No. 3
! Rb2InAsCl6 | Alexandria via LeMat-Bulk | PBE-GGA | relaxed; values from VASP
! - Calculated volume: 32.42 Å³ per atom
! - Symmetry: No. 225
! - ΔE_f (raw): -1.236 eV/atom
&SYSTEM
  ibrav = 0, nat = 10, ntyp = 4
/
ATOMIC_SPECIES
As 74.92 As.upf
Cl 35.45 Cl.upf
Rb 85.47 Rb.upf
In 114.82 In.upf
ATOMIC_POSITIONS crystal
As 0.5000 0.5000 0.0000
Cl 0.2681 0.2681 0.4639
Cl 0.7319 0.7319 0.5361
Cl 0.2682 0.2682 0.0000
Cl 0.7318 0.7318 0.0000
Cl 0.7318 0.2682 0.0000
Cl 0.2682 0.7318 0.0000
Rb 0.7500 0.2500 0.5000
Rb 0.2500 0.7500 0.5000
In 0.0000 0.0000 0.0000
CELL_PARAMETERS angstrom
7.7122 0.0000 0.0000
0.0000 7.7122 0.0000
3.8561 3.8561 5.4513



No. 4
! RbIn2AsCl | Alexandria via LeMat-Bulk | PBE-GGA | relaxed; values from VASP
! - Calculated volume: 39.23 Å³ per atom
! - Symmetry: No. 123
! - ΔE_f (raw): -0.028 eV/atom
&SYSTEM
  ibrav = 0, nat = 5, ntyp = 4
/
ATOMIC_SPECIES
As 74.92 As.upf
Cl 35.45 Cl.upf
Rb 85.47 Rb.upf
In 114.82 In.upf
ATOMIC_POSITIONS crystal
As 0.5000 0.5000 0.5000
Cl 0.0000 0.0000 0.0000
Rb 0.0000 0.5000 0.0000
In 0.0000 0.0000 0.5000
In 0.5000 0.0000 0.0000
CELL_PARAMETERS angstrom
5.7627 0.0000 0.0000
0.0000 5.9070 0.0000
0.0000 0.0000 5.7627



No. 5
! RbInAsCl2 | Alexandria via LeMat-Bulk | PBE-GGA | relaxed; values from VASP
! - Calculated volume: 48.78 Å³ per atom
! - Symmetry: No. 123
! - ΔE_f (raw): 0.059 eV/atom
&SYSTEM
  ibrav = 0, nat = 5, ntyp = 4
/
ATOMIC_SPECIES
As 74.92 As.upf
Cl 35.45 Cl.upf
Rb 85.47 Rb.upf
In 114.82 In.upf
ATOMIC_POSITIONS crystal
As 0.5000 0.5000 0.5000
Cl 0.0000 0.0000 0.5000
Cl 0.5000 0.0000 0.0000
Rb 0.0000 0.0000 0.0000
In 0.0000 0.5000 0.0000
CELL_PARAMETERS angstrom
6.0194 0.0000 0.0000
0.0000 6.7316 0.0000
0.0000 0.0000 6.0194



No. 6
! InAsS2Cl | Alexandria via LeMat-Bulk | PBE-GGA | relaxed; values from VASP
! - Calculated volume: 27.27 Å³ per atom
! - Symmetry: No. 123
! - Energy above the most stable polymorph in this dataset: 214 kJ/mol of formula units
! - ΔE_f (raw): 0.414 eV/atom
&SYSTEM
  ibrav = 0, nat = 5, ntyp = 4
/
ATOMIC_SPECIES
As 74.92 As.upf
Cl 35.45 Cl.upf
S 32.06 S.upf
In 114.82 In.upf
ATOMIC_POSITIONS crystal
As 0.5000 0.5000 0.5000
Cl 0.0000 0.0000 0.5000
S 0.0000 0.5000 0.0000
S 0.5000 0.0000 0.0000
In 0.0000 0.0000 0.0000
CELL_PARAMETERS angstrom
-4.9026 -1.3156 -1.1939
0.5767 -4.4930 2.5832
-1.6158 2.2084 4.2018



No. 7
! InAsS2Cl | Alexandria via LeMat-Bulk | PBE-GGA | relaxed; values from VASP
! - Calculated volume: 24.15 Å³ per atom
! - Symmetry: No. 123
! - Energy above the most stable polymorph in this dataset: 0 kJ/mol of formula units
! - ΔE_f (raw): -0.029 eV/atom
&SYSTEM
  ibrav = 0, nat = 5, ntyp = 4
/
ATOMIC_SPECIES
As 74.92 As.upf
Cl 35.45 Cl.upf
S 32.06 S.upf
In 114.82 In.upf
ATOMIC_POSITIONS crystal
As 0.0000 0.0000 0.0000
Cl 0.0000 0.0000 0.5000
S 0.0000 0.5000 0.0000
S 0.5000 0.0000 0.0000
In 0.5000 0.5000 0.5000
CELL_PARAMETERS angstrom
-4.5065 -1.2568 -1.1822
0.5721 -4.2077 2.2921
-1.7490 2.1493 4.3820



No. 8
! Tl2InAsCl | Alexandria via LeMat-Bulk | PBE-GGA | relaxed; values from VASP
! - Calculated volume: 35.05 Å³ per atom
! - Symmetry: No. 123
! - ΔE_f (raw): 0.204 eV/atom
&SYSTEM
  ibrav = 0, nat = 5, ntyp = 4
/
ATOMIC_SPECIES
Tl 204.38 Tl.upf
Cl 35.45 Cl.upf
As 74.92 As.upf
In 114.82 In.upf
ATOMIC_POSITIONS crystal
Tl 0.0000 0.0000 0.5000
Tl 0.5000 0.0000 0.0000
Cl 0.0000 0.0000 0.0000
As 0.0000 0.5000 0.0000
In 0.5000 0.5000 0.5000
CELL_PARAMETERS angstrom
-2.3068 5.3744 0.0750
-1.8430 -0.8567 4.7028
4.9460 2.0906 2.3191



No. 9
! AsIr4Cl | Alexandria via LeMat-Bulk | PBE-GGA | relaxed; values from VASP
! - Calculated volume: 17.43 Å³ per atom
! - Symmetry: No. 216
! - ΔE_f (raw): 1.006 eV/atom
&SYSTEM
  ibrav = 0, nat = 6, ntyp = 3
/
ATOMIC_SPECIES
As 74.92 As.upf
Ir 192.22 Ir.upf
Cl 35.45 Cl.upf
ATOMIC_POSITIONS crystal
As 0.7500 0.7500 0.7500
Ir 0.8735 0.3755 0.3755
Ir 0.3755 0.3755 0.8735
Ir 0.3755 0.8735 0.3755
Ir 0.3755 0.3755 0.3755
Cl 0.0000 0.0000 0.0000
CELL_PARAMETERS angstrom
-4.7711 -1.4094 -1.7923
-4.2914 2.7016 1.4989
-2.5342 3.0771 -3.4743



No. 10
! AsIrCl3 | Alexandria via LeMat-Bulk | PBE-GGA | relaxed; values from VASP
! - Calculated volume: 22.56 Å³ per atom
! - Symmetry: No. 221
! - Energy above the most stable polymorph in this dataset: 0 kJ/mol of formula units
! - ΔE_f (raw): 0.464 eV/atom
&SYSTEM
  ibrav = 0, nat = 5, ntyp = 3
/
ATOMIC_SPECIES
As 74.92 As.upf
Ir 192.22 Ir.upf
Cl 35.45 Cl.upf
ATOMIC_POSITIONS crystal
As 0.5000 0.5000 0.5000
Ir 0.0000 0.0000 0.0000
Cl 0.0000 0.5000 0.0000
Cl 0.0000 0.0000 0.5000
Cl 0.5000 0.0000 0.0000
CELL_PARAMETERS angstrom
4.8315 0.0000 0.0000
0.0000 4.8315 0.0000
0.0000 0.0000 4.8315



No. 11
! As2Ir2Cl | Alexandria via LeMat-Bulk | PBE-GGA | relaxed; values from VASP
! - Calculated volume: 19.12 Å³ per atom
! - Symmetry: No. 139
! - Energy above the most stable polymorph in this dataset: 15 kJ/mol of formula units
! - ΔE_f (raw): 0.197 eV/atom
&SYSTEM
  ibrav = 0, nat = 5, ntyp = 3
/
ATOMIC_SPECIES
As 74.92 As.upf
Ir 192.22 Ir.upf
Cl 35.45 Cl.upf
ATOMIC_POSITIONS crystal
As 0.7500 0.2500 0.5000
As 0.2500 0.7500 0.5000
Ir 0.3736 0.3736 0.2529
Ir 0.6264 0.6264 0.7471
Cl 0.0000 0.0000 0.0000
CELL_PARAMETERS angstrom
4.2191 0.0000 0.0000
0.0000 4.2191 0.0000
2.1096 2.1096 5.3705



No. 12
! AsIr3Cl | Alexandria via LeMat-Bulk | PBE-GGA | relaxed; values from VASP
! - Calculated volume: 17.86 Å³ per atom
! - Symmetry: No. 221
! - Energy above the most stable polymorph in this dataset: 92 kJ/mol of formula units
! - ΔE_f (raw): 1.642 eV/atom
&SYSTEM
  ibrav = 0, nat = 5, ntyp = 3
/
ATOMIC_SPECIES
As 74.92 As.upf
Ir 192.22 Ir.upf
Cl 35.45 Cl.upf
ATOMIC_POSITIONS crystal
As 0.5000 0.5000 0.5000
Ir 0.0000 0.5000 0.0000
Ir 0.0000 0.0000 0.5000
Ir 0.5000 0.0000 0.0000
Cl 0.0000 0.0000 0.0000
CELL_PARAMETERS angstrom
4.4697 0.0000 0.0000
0.0000 4.4697 0.0000
0.0000 0.0000 4.4697



no.,total magnetization (μB per atom)
1,0.100
2,0.089
3,0.000
4,0.200
5,0.600
6,0.191
7,0.000
8,0.000
9,0.530
10,0.333
11,0.000
12,0.197